No. 1
The following is a DFT calculation (PBE-GGA) of Rb5HgAs2 after structural relaxation.

Calculated values
Its crystal system is trigonal. For the calculated formation energy, the calculation gives -0.291 eV per atom. For the calculated volume, the calculation gives 52.2 A^3/atom. For the total energy, the calculation gives -16.8 eV/cell. For the calculated density, the calculation gives 3.10 g cm⁻³. The space-group type is R-3m (166). The magnetic moment comes out at 0.00 μB/cell.

Lattice parameters (Å, degrees): 13.978 13.978 13.978 24.63 24.63 24.63
Fractional positions:
Rb (0.000, 0.000, 0.000)
Rb (0.131, 0.131, 0.131)
Rb (0.255, 0.255, 0.255)
Rb (0.745, 0.745, 0.745)
Rb (0.869, 0.869, 0.869)
Hg (0.500, 0.500, 0.500)
As (0.437, 0.437, 0.437)
As (0.563, 0.563, 0.563)

***

No. 2
The following is a DFT calculation (PBE-GGA) of Rb12Hg5As3 after structural relaxation.

Calculated values
Its crystal system is cubic. For the calculated formation energy, the calculation gives -0.090 eV per atom. For the calculated volume, the calculation gives 55.7 A^3/atom. For the total energy, the calculation gives -115.5 eV/cell. For the calculated density, the calculation gives 3.36 g cm⁻³. The space-group type is Ia-3d (230). The magnetic moment comes out at 0.00 μB/cell.

Lattice parameters (Å, degrees): 17.958 17.958 17.958 109.47 109.47 109.47
Fractional positions:
Rb (0.069, 0.239, 0.139)
Rb (0.069, 0.330, 0.930)
Rb (0.070, 0.639, 0.400)
Rb (0.070, 0.931, 0.670)
Rb (0.100, 0.739, 0.670)
Rb (0.100, 0.861, 0.430)
Rb (0.139, 0.069, 0.239)
Rb (0.139, 0.570, 0.900)
Rb (0.170, 0.239, 0.600)
Rb (0.170, 0.431, 0.570)
Rb (0.239, 0.139, 0.069)
Rb (0.239, 0.600, 0.170)
Rb (0.261, 0.330, 0.900)
Rb (0.261, 0.431, 0.361)
Rb (0.330, 0.900, 0.261)
Rb (0.330, 0.930, 0.069)
Rb (0.361, 0.261, 0.431)
Rb (0.361, 0.600, 0.930)
Rb (0.400, 0.070, 0.639)
Rb (0.400, 0.830, 0.761)
Rb (0.430, 0.100, 0.861)
Rb (0.430, 0.830, 0.569)
Rb (0.431, 0.361, 0.261)
Rb (0.431, 0.570, 0.170)
Rb (0.569, 0.430, 0.830)
Rb (0.569, 0.639, 0.739)
Rb (0.570, 0.170, 0.431)
Rb (0.570, 0.900, 0.139)
Rb (0.600, 0.170, 0.239)
Rb (0.600, 0.930, 0.361)
Rb (0.639, 0.400, 0.070)
Rb (0.639, 0.739, 0.569)
Rb (0.670, 0.070, 0.931)
Rb (0.670, 0.100, 0.739)
Rb (0.739, 0.569, 0.639)
Rb (0.739, 0.670, 0.100)
Rb (0.761, 0.400, 0.830)
Rb (0.761, 0.861, 0.931)
Rb (0.830, 0.569, 0.430)
Rb (0.830, 0.761, 0.400)
Rb (0.861, 0.430, 0.100)
Rb (0.861, 0.931, 0.761)
Rb (0.900, 0.139, 0.570)
Rb (0.900, 0.261, 0.330)
Rb (0.930, 0.069, 0.330)
Rb (0.930, 0.361, 0.600)
Rb (0.931, 0.670, 0.070)
Rb (0.931, 0.761, 0.861)
Hg (0.000, 0.000, 0.000)
Hg (0.000, 0.000, 0.500)
Hg (0.000, 0.500, 0.000)
Hg (0.000, 0.500, 0.500)
Hg (0.125, 0.750, 0.875)
Hg (0.125, 0.875, 0.250)
Hg (0.250, 0.125, 0.875)
Hg (0.250, 0.625, 0.375)
Hg (0.375, 0.250, 0.625)
Hg (0.375, 0.625, 0.750)
Hg (0.500, 0.000, 0.000)
Hg (0.500, 0.000, 0.500)
Hg (0.500, 0.500, 0.000)
Hg (0.500, 0.500, 0.500)
Hg (0.625, 0.375, 0.250)
Hg (0.625, 0.750, 0.375)
Hg (0.750, 0.375, 0.625)
Hg (0.750, 0.875, 0.125)
Hg (0.875, 0.125, 0.750)
Hg (0.875, 0.250, 0.125)
As (0.125, 0.250, 0.375)
As (0.125, 0.375, 0.750)
As (0.250, 0.375, 0.125)
As (0.250, 0.875, 0.625)
As (0.375, 0.125, 0.250)
As (0.375, 0.750, 0.125)
As (0.625, 0.250, 0.875)
As (0.625, 0.875, 0.750)
As (0.750, 0.125, 0.375)
As (0.750, 0.625, 0.875)
As (0.875, 0.625, 0.250)
As (0.875, 0.750, 0.625)

***

No. 3
The following is a DFT calculation (PBE-GGA) of Rb2Hg2As after structural relaxation.

Calculated values
Its crystal system is tetragonal. For the calculated formation energy, the calculation gives -0.094 eV per atom. Its distance to the lowest polymorph of the same formula is 211 meV per atom. For the calculated volume, the calculation gives 39.2 A^3/atom. For the total energy, the calculation gives -15.3 eV/cell. For the calculated density, the calculation gives 5.49 g cm⁻³. The space-group type is I4/mmm (139). The magnetic moment comes out at 0.00 μB/cell.

Lattice parameters (Å, degrees): 4.313 4.313 21.049 90.00 90.00 90.00
Fractional positions:
Rb (0.000, 0.000, 0.093)
Rb (0.000, 0.000, 0.907)
Rb (0.500, 0.500, 0.407)
Rb (0.500, 0.500, 0.593)
Hg (0.000, 0.500, 0.250)
Hg (0.000, 0.500, 0.750)
Hg (0.500, 0.000, 0.250)
Hg (0.500, 0.000, 0.750)
As (0.000, 0.000, 0.500)
As (0.500, 0.500, 0.000)

***

> total energy of number 2 (Rb12Hg5As3)?

-115.5 eV/cell

***

> Which of these has the lowest calculated density?

Rb5HgAs2